# 1
The following is a GGA-PBE calculation of a geometry-optimized Li4ReO5 structure, from Alexandria via LeMat-Bulk.

Output
Size of the total moment in μB per atom: 0.09
Calculated density in g/cm³: 5.36
Formation energy from raw total energies in eV per atom: -1.8877
Electronic total energy in eV per atom: -6.38

a = 5.184 Å, b = 5.184 Å, c = 5.184 Å
α = 98.44°, β = 98.44°, γ = 134.95°
Fractional coordinates of all 10 atoms:
Li 0.108 0.686 0.794
Li 0.314 0.108 0.422
Li 0.686 0.892 0.578
Li 0.892 0.314 0.206
Re 0.500 0.500 0.000
O 0.000 0.000 0.000
O 0.229 0.415 0.644
O 0.415 0.771 0.186
O 0.585 0.229 0.814
O 0.771 0.585 0.356


# 2
The following is a GGA-PBE calculation of a geometry-optimized MgPa3Ga5 structure, from Alexandria via LeMat-Bulk.

Output
Size of the total moment in μB per atom: 0.00
Calculated density in g/cm³: 9.22
Electronic total energy in eV per atom: -5.25

a = 8.613 Å, b = 8.613 Å, c = 5.974 Å
α = 90.00°, β = 90.00°, γ = 120.00°
Fractional coordinates of all 18 atoms:
Mg 0.000 0.000 0.000
Mg 0.000 0.000 0.500
Pa 0.000 0.376 0.250
Pa 0.000 0.624 0.750
Pa 0.376 0.000 0.250
Pa 0.376 0.376 0.750
Pa 0.624 0.000 0.750
Pa 0.624 0.624 0.250
Ga 0.000 0.290 0.750
Ga 0.000 0.710 0.250
Ga 0.290 0.000 0.750
Ga 0.290 0.290 0.250
Ga 0.333 0.667 0.000
Ga 0.333 0.667 0.500
Ga 0.667 0.333 0.000
Ga 0.667 0.333 0.500
Ga 0.710 0.000 0.250
Ga 0.710 0.710 0.750


# 3
The following is a GGA-PBE calculation of a geometry-optimized Ce3CdTc structure, from Alexandria via LeMat-Bulk.

Output
Size of the total moment in μB per atom: 0.37
Calculated density in g/cm³: 7.01
Electronic total energy in eV per atom: -5.80

a = 5.306 Å, b = 5.306 Å, c = 5.306 Å
α = 90.00°, β = 90.00°, γ = 90.00°
Fractional coordinates of all 5 atoms:
Ce 0.000 0.000 0.500
Ce 0.000 0.500 0.000
Ce 0.500 0.000 0.000
Cd 0.500 0.500 0.500
Tc 0.000 0.000 0.000


# 4
The following is a GGA-PBE calculation of a geometry-optimized PaMnFeSb structure, from Alexandria via LeMat-Bulk.

Output
Size of the total moment in μB per atom: 0.27
Calculated density in g/cm³: 11.29
Formation energy from raw total energies in eV per atom: 0.0042
Electronic total energy in eV per atom: -7.81

a = 4.585 Å, b = 4.585 Å, c = 4.585 Å
α = 60.00°, β = 60.00°, γ = 60.00°
Fractional coordinates of all 4 atoms:
Pa 0.000 0.000 0.000
Mn 0.250 0.250 0.250
Fe 0.750 0.750 0.750
Sb 0.500 0.500 0.500


Q: What is the formula in the first record?
A: Li4ReO5